# CaEr4PbS8 (PBE-GGA, optimized geometry)
data_CaEr4PbS8
_chemical_formula_sum 'Ca3 Er12 Pb3 S24'
_symmetry_space_group_name_H-M 'R 3 m'
_symmetry_Int_Tables_number 160
_symmetry_space_group_name_Hall 'R 3 -2"'
_cell_length_a 8.0733
_cell_length_b 8.0733
_cell_length_c 20.2669
_cell_angle_alpha 90.00
_cell_angle_beta 90.00
_cell_angle_gamma 120.00
loop_
_atom_site_label
_atom_site_fract_x
_atom_site_fract_y
_atom_site_fract_z
Ca1 0.0000 0.0000 0.0000
Er1 0.0000 0.0000 0.2485
Er2 0.1693 0.3386 0.4580
Pb1 0.0000 0.0000 0.6292
S1 0.0000 0.0000 0.3822
S2 0.0000 0.0000 0.8641
S3 0.0201 0.5101 0.3857
S4 0.1707 0.3414 0.1992
# M_tot ... 0.00 Bohr magnetons per cell
# E_tot ... -5.861 eV/atom

=====

# Ca3ErPb2S (PBE-GGA, optimized geometry)
data_Ca3ErPb2S
_chemical_formula_sum 'Ca6 Er2 Pb4 S2'
_symmetry_space_group_name_H-M 'I m m m'
_symmetry_Int_Tables_number 71
_symmetry_space_group_name_Hall '-I 2 2'
_cell_length_a 5.163
_cell_length_b 5.212
_cell_length_c 16.370
_cell_angle_alpha 90.00
_cell_angle_beta 90.00
_cell_angle_gamma 90.00
loop_
_atom_site_label
_atom_site_fract_x
_atom_site_fract_y
_atom_site_fract_z
Ca1 0.000 0.000 0.000
Ca2 0.000 0.500 0.324
Er1 0.000 0.000 0.500
Pb1 0.000 0.500 0.128
S1 0.000 0.500 0.500
# M_tot ... 0.00 Bohr magnetons per cell
# E_tot ... -4.035 eV/atom